No. 1
ScHBr2, optimized geometry, DFT PBE; space group = Pnna; VASP energy = -70.16 eV/cell; DOS at the Fermi energy = 0.0 states/eV/cell
1.0
6.846 0.000 0.000
0.000 5.928 0.000
0.000 0.000 9.924
Sc H Br
4 4 8
direct
0.250 0.000 0.113 Sc
0.250 0.500 0.387 Sc
0.750 0.000 0.887 Sc
0.750 0.500 0.613 Sc
0.203 0.250 0.250 H
0.297 0.750 0.250 H
0.703 0.250 0.750 H
0.797 0.750 0.750 H
0.074 0.245 0.925 Br
0.074 0.255 0.575 Br
0.426 0.745 0.575 Br
0.426 0.755 0.925 Br
0.574 0.245 0.075 Br
0.574 0.255 0.425 Br
0.926 0.745 0.425 Br
0.926 0.755 0.075 Br

***

No. 2
Sm6Dy2Y, optimized geometry, DFT PBE; space group = C2/c; energy above the most stable polymorph in this dataset = 199 meV/atom; VASP energy = -84.11 eV/cell; DOS at the Fermi energy = 26.1 states/eV/cell
1.0
6.739 -7.374 0.000
6.739 7.374 0.000
-1.612 0.000 6.068
Sm Dy Y
12 4 2
direct
0.063 0.824 0.985 Sm
0.078 0.512 0.270 Sm
0.176 0.937 0.515 Sm
0.349 0.437 0.051 Sm
0.437 0.349 0.551 Sm
0.488 0.922 0.230 Sm
0.512 0.078 0.770 Sm
0.563 0.651 0.449 Sm
0.651 0.563 0.949 Sm
0.824 0.063 0.485 Sm
0.922 0.488 0.730 Sm
0.937 0.176 0.015 Sm
0.129 0.267 0.597 Dy
0.267 0.129 0.097 Dy
0.733 0.871 0.903 Dy
0.871 0.733 0.403 Dy
0.320 0.680 0.750 Y
0.680 0.320 0.250 Y

***

No. 3
Zn3Sn5Sb12, optimized geometry, DFT PBE; space group = Ia-3d; raw formation energy = 0.197 eV per atom; VASP energy = -277.43 eV/cell; DOS at the Fermi energy = 29.6 states/eV/cell
1.0
-8.711 8.711 8.711
8.711 -8.711 8.711
8.711 8.711 -8.711
Zn Sn Sb
12 20 48
direct
0.125 0.250 0.375 Zn
0.125 0.375 0.750 Zn
0.250 0.375 0.125 Zn
0.250 0.875 0.625 Zn
0.375 0.125 0.250 Zn
0.375 0.750 0.125 Zn
0.625 0.250 0.875 Zn
0.625 0.875 0.750 Zn
0.750 0.125 0.375 Zn
0.750 0.625 0.875 Zn
0.875 0.625 0.250 Zn
0.875 0.750 0.625 Zn
0.000 0.000 0.000 Sn
0.000 0.000 0.500 Sn
0.000 0.500 0.000 Sn
0.000 0.500 0.500 Sn
0.125 0.750 0.875 Sn
0.125 0.875 0.250 Sn
0.250 0.125 0.875 Sn
0.250 0.625 0.375 Sn
0.375 0.250 0.625 Sn
0.375 0.625 0.750 Sn
0.500 0.000 0.000 Sn
0.500 0.000 0.500 Sn
0.500 0.500 0.000 Sn
0.500 0.500 0.500 Sn
0.625 0.375 0.250 Sn
0.625 0.750 0.375 Sn
0.750 0.375 0.625 Sn
0.750 0.875 0.125 Sn
0.875 0.125 0.750 Sn
0.875 0.250 0.125 Sn
0.047 0.606 0.365 Sb
0.047 0.941 0.682 Sb
0.059 0.241 0.106 Sb
0.059 0.318 0.953 Sb
0.106 0.059 0.241 Sb
0.106 0.547 0.865 Sb
0.135 0.741 0.682 Sb
0.135 0.894 0.453 Sb
0.182 0.241 0.635 Sb
0.182 0.441 0.547 Sb
0.241 0.106 0.059 Sb
0.241 0.635 0.182 Sb
0.259 0.318 0.865 Sb
0.259 0.441 0.394 Sb
0.318 0.865 0.259 Sb
0.318 0.953 0.059 Sb
0.365 0.047 0.606 Sb
0.365 0.818 0.759 Sb
0.394 0.259 0.441 Sb
0.394 0.635 0.953 Sb
0.441 0.394 0.259 Sb
0.441 0.547 0.182 Sb
0.453 0.135 0.894 Sb
0.453 0.818 0.559 Sb
0.547 0.182 0.441 Sb
0.547 0.865 0.106 Sb
0.559 0.453 0.818 Sb
0.559 0.606 0.741 Sb
0.606 0.365 0.047 Sb
0.606 0.741 0.559 Sb
0.635 0.182 0.241 Sb
0.635 0.953 0.394 Sb
0.682 0.047 0.941 Sb
0.682 0.135 0.741 Sb
0.741 0.559 0.606 Sb
0.741 0.682 0.135 Sb
0.759 0.365 0.818 Sb
0.759 0.894 0.941 Sb
0.818 0.559 0.453 Sb
0.818 0.759 0.365 Sb
0.865 0.106 0.547 Sb
0.865 0.259 0.318 Sb
0.894 0.453 0.135 Sb
0.894 0.941 0.759 Sb
0.941 0.682 0.047 Sb
0.941 0.759 0.894 Sb
0.953 0.059 0.318 Sb
0.953 0.394 0.635 Sb

***

No. 4
Ni2PdC2, optimized geometry, DFT PBE; space group = I4/mmm; energy above the most stable polymorph in this dataset = 0 meV/atom; VASP energy = -64.92 eV/cell; DOS at the Fermi energy = 8.3 states/eV/cell
1.0
3.516 0.000 0.000
0.000 3.516 0.000
0.000 0.000 7.628
Ni Pd C
4 2 4
direct
0.000 0.500 0.250 Ni
0.000 0.500 0.750 Ni
0.500 0.000 0.250 Ni
0.500 0.000 0.750 Ni
0.000 0.000 0.000 Pd
0.500 0.500 0.500 Pd
0.000 0.000 0.404 C
0.000 0.000 0.596 C
0.500 0.500 0.096 C
0.500 0.500 0.904 C

***

What did the first record say?
ScHBr2, optimized geometry, DFT PBE; space group = Pnna; VASP energy = -70.16 eV/cell; DOS at the Fermi energy = 0.0 states/eV/cell
1.0
6.846 0.000 0.000
0.000 5.928 0.000
0.000 0.000 9.924
Sc H Br
4 4 8
direct
0.250 0.000 0.113 Sc
0.250 0.500 0.387 Sc
0.750 0.000 0.887 Sc
0.750 0.500 0.613 Sc
0.203 0.250 0.250 H
0.297 0.750 0.250 H
0.703 0.250 0.750 H
0.797 0.750 0.750 H
0.074 0.245 0.925 Br
0.074 0.255 0.575 Br
0.426 0.745 0.575 Br
0.426 0.755 0.925 Br
0.574 0.245 0.075 Br
0.574 0.255 0.425 Br
0.926 0.745 0.425 Br
0.926 0.755 0.075 Br